No. 1
DFT (PBE) results for crystalline ErHgTe2 at its relaxed geometry.

POSCAR file:
```
ErHgTe2
1.0
-0.4121 1.6554 -4.0257
3.0537 -0.8137 -3.0215
-3.0509 -6.1493 -4.5907
Er Hg Te
1 1 2
direct
0.6659 0.6659 0.0022 Er
0.4995 0.4995 0.5015 Hg
0.0745 0.0745 0.7766 Te
0.2601 0.2601 0.2198 Te
```

Computed properties:
energy above the lowest structure with this stoichiometry: 0.0000 eV/atom
space-group type: No. 160
theoretical density: 7948 kg/m³
E_tot: -3.5414 eV/atom

No. 2
DFT (PBE) results for crystalline TbCePrAl at its relaxed geometry.

POSCAR file:
```
TbCePrAl
1.0
-3.1692 1.9578 -3.9469
-1.3201 -3.1370 -4.2274
-5.0851 -1.8153 -0.5487
Pr Tb Al Ce
1 1 1 1
direct
0.5000 0.5000 0.5000 Pr
0.7500 0.7500 0.7500 Tb
0.2500 0.2500 0.2500 Al
0.0000 0.0000 0.0000 Ce
```

Computed properties:
space-group type: No. 216
formation enthalpy at 0 K: 0.00 eV/atom
theoretical density: 6859 kg/m³
E_tot: -4.7762 eV/atom

No. 3
DFT (PBE) results for crystalline BeTe2Ir at its relaxed geometry.

POSCAR file:
```
BeTe2Ir
1.0
3.1906 0.0000 0.0000
0.0000 3.1906 0.0000
0.0000 0.0000 8.2752
Be Ir Te
1 1 2
direct
0.0000 0.0000 0.5836 Be
0.5000 0.5000 0.6612 Ir
0.0000 0.0000 0.9147 Te
0.5000 0.5000 0.3406 Te
```

Computed properties:
space-group type: No. 99
theoretical density: 8997 kg/m³
E_tot: -4.6241 eV/atom

No. 4
DFT (PBE) results for crystalline BaTlSnPd3 at its relaxed geometry.

POSCAR file:
```
BaTlSnPd3
1.0
6.0433 0.0000 0.0000
0.0000 6.8980 0.0000
0.0000 -3.4490 7.9373
Ba Tl Sn Pd
2 2 2 6
direct
0.7500 0.2195 0.4390 Ba
0.2500 0.7805 0.5610 Ba
0.2500 0.3854 0.7708 Tl
0.7500 0.6146 0.2292 Tl
0.2500 0.0529 0.1058 Sn
0.7500 0.9471 0.8942 Sn
0.2500 0.2176 0.4352 Pd
0.0000 0.2917 0.0000 Pd
0.5000 0.7083 0.0000 Pd
0.5000 0.2917 0.0000 Pd
0.0000 0.7083 0.0000 Pd
0.7500 0.7824 0.5648 Pd
```

Computed properties:
space-group type: No. 63
formation enthalpy at 0 K: -0.38 eV/atom
theoretical density: 7826 kg/m³
E_tot: -4.3555 eV/atom